[1]
TaNiHgSe3 | GGA-PBE | optimized geometry

Cell: 9.8356 3.5134 10.1528 Å, 90.00 118.08 90.00°
With the nearest neighbours (Å) after each atom.
Space group P2_1/m (No. 11)
Asymmetric unit:
Ta: 0.1725 0.2500 0.4739 [2 per cell]  6 Se 2.57-2.72, 2 Ni 2.75
Ni: 0.3906 0.7500 0.4796 [2 per cell]  4 Se 2.37-2.42
Hg: 0.2614 0.2500 0.0014 [2 per cell]  2 Hg 3.51, 7 Se 3.59-3.93
Se: 0.1379 0.7500 0.2749 [2 per cell]  1 Ni 2.37, 2 Ta 2.58
Se: 0.1399 0.7500 0.6523 [2 per cell]  3 Ta 2.65-2.72
Se: 0.4633 0.2500 0.6565 [2 per cell]  3 Ni 2.37-2.42, 1 Ta 2.57

Formation energy without anion corrections   -0.515 eV/atom
Total moment   0.00 μB/f.u.

---

[2]
TiNiHgSe3 | GGA-PBE | optimized geometry

Cell: 9.3275 3.5530 9.7707 Å, 90.00 118.02 90.00°
With the nearest neighbours (Å) after each atom.
Space group P2_1/m (No. 11)
Asymmetric unit:
Ti: 0.0225 0.2500 0.1758 [2 per cell]  6 Se 2.55-2.64
Ni: 0.0196 0.7500 0.4126 [2 per cell]  4 Se 2.33-2.37, 2 Ni 2.61
Hg: 0.4817 0.2500 0.7327 [2 per cell]  5 Se 3.13-3.48
Se: 0.1630 0.7500 0.6870 [2 per cell]  3 Ni 2.33-2.37
Se: 0.1757 0.2500 0.0121 [2 per cell]  3 Ti 2.60
Se: 0.2263 0.7500 0.3419 [2 per cell]  1 Ni 2.33, 2 Ti 2.55

Formation energy without anion corrections   -0.611 eV/atom
Total moment   0.00 μB/f.u.

---

[3]
Ti2NiHg2Se6 | GGA-PBE | optimized geometry

Cell: 5.9841 10.6061 9.6820 Å, 90.00 104.03 90.00°
With the nearest neighbours (Å) after each atom.
Space group C2/m (No. 12)
Asymmetric unit:
Ti: 0.0000 0.1641 0.0000 [4 per cell]  6 Se 2.55-2.57
Ni: 0.0000 0.5000 0.0000 [2 per cell]  6 Se 2.46
Hg: 0.0000 0.2498 0.5000 [4 per cell]  2 Hg 2.99, 2 Se 3.34
Se: 0.0939 0.3392 0.8398 [8 per cell]  1 Ni 2.46, 2 Ti 2.55-2.57
Se: 0.1142 0.0000 0.8368 [4 per cell]  1 Ni 2.46, 2 Ti 2.55

Formation energy without anion corrections   -0.631 eV/atom
Total moment   0.00 μB/f.u.

---

[4]
ZnNiHg2Se | GGA-PBE | optimized geometry

Cell: 5.0641 5.0641 4.6288 Å, 90.00 90.00 90.00°
With the nearest neighbours (Å) after each atom.
Space group P4/mmm (No. 123)
Asymmetric unit:
Zn: 0.0000 0.0000 0.0000 [1 per cell]  2 Ni 2.31, 4 Hg 2.53
Ni: 0.0000 0.0000 0.5000 [1 per cell]  2 Zn 2.31
Hg: 0.0000 0.5000 0.0000 [2 per cell]  2 Zn 2.53
Se: 0.5000 0.5000 0.5000 [1 per cell]  8 Hg 3.43, 4 Ni 3.58

Formation energy without anion corrections   0.624 eV/atom
Total moment   0.80 μB/f.u.

---

[5]
SiNiHg2 | GGA-PBE | optimized geometry

Cell: 7.4759 7.4759 5.5532 Å, 90.00 90.00 90.00°
With the nearest neighbours (Å) after each atom.
Space group I-42d (No. 122)
Asymmetric unit:
Si: 0.0000 0.0000 0.0000 [4 per cell]  2 Ni 2.78, 4 Hg 2.79
Ni: 0.0000 0.0000 0.5000 [4 per cell]  4 Hg 2.67, 2 Si 2.78
Hg: 0.2383 0.2500 0.6250 [8 per cell]  2 Ni 2.67, 2 Hg 2.78, 2 Si 2.79

Formation energy without anion corrections   0.539 eV/atom
Total moment   0.00 μB/f.u.

---

[6]
SiNi3Hg | GGA-PBE | optimized geometry

Cell: 4.6967 4.6967 4.6967 Å, 90.00 90.00 90.00°
With the nearest neighbours (Å) after each atom.
Space group Pm-3m (No. 221)
Asymmetric unit:
Si: 0.0000 0.0000 0.0000 [1 per cell]  12 Ni 3.32
Ni: 0.0000 0.5000 0.5000 [3 per cell]  2 Hg 2.35
Hg: 0.5000 0.5000 0.5000 [1 per cell]  6 Ni 2.35

Formation energy without anion corrections   1.505 eV/atom
Total moment   0.86 μB/f.u.
Energy above the lowest structure with this stoichiometry   1.244 eV/atom

---

[7]
Si2Ni2Hg | GGA-PBE | optimized geometry

Cell: 7.2953 7.2953 2.6213 Å, 90.00 90.00 90.00°
With the nearest neighbours (Å) after each atom.
Space group P4/mbm (No. 127)
Asymmetric unit:
Si: 0.1230 0.3770 0.0000 [4 per cell]  6 Ni 2.51-2.53, 3 Si 2.54-2.62
Ni: 0.1671 0.6671 0.5000 [4 per cell]  6 Si 2.51-2.53, 2 Ni 2.62
Hg: 0.0000 0.0000 0.0000 [2 per cell]  2 Hg 2.62, 4 Si 2.89

Formation energy without anion corrections   0.007 eV/atom
Total moment   0.00 μB/f.u.
Energy above the lowest structure with this stoichiometry   0.152 eV/atom

---

[8]
SiNiHg2 | GGA-PBE | optimized geometry

Cell: 3.5655 3.5655 5.5866 Å, 90.00 90.00 90.00°
With the nearest neighbours (Å) after each atom.
Space group P4/mmm (No. 123)
Asymmetric unit:
Si: 0.0000 0.0000 0.0000 [1 per cell]  2 Ni 2.79, 8 Hg 2.90
Ni: 0.0000 0.0000 0.5000 [1 per cell]  2 Si 2.79, 8 Hg 2.87
Hg: 0.5000 0.5000 0.2562 [2 per cell]  2 Hg 2.72-2.86, 4 Ni 2.87, 4 Si 2.90

Formation energy without anion corrections   0.438 eV/atom
Total moment   0.00 μB/f.u.

---

[9]
SiNiHg2 | GGA-PBE | optimized geometry

Cell: 5.4674 9.8697 3.1556 Å, 90.00 118.67 90.00°
With the nearest neighbours (Å) after each atom.
Space group C2/m (No. 12)
Asymmetric unit:
Si: 0.0000 0.0000 0.0000 [2 per cell]  4 Ni 2.73-3.03, 4 Hg 2.82
Ni: 0.0000 0.5000 0.0000 [2 per cell]  4 Si 2.73-3.03, 4 Hg 2.82
Hg: 0.2500 0.2500 0.0000 [4 per cell]  4 Hg 2.73-3.03, 2 Ni 2.82, 2 Si 2.82

Formation energy without anion corrections   0.484 eV/atom
Total moment   0.00 μB/f.u.

---

[10]
Si2Ni2Hg | GGA-PBE | optimized geometry

Cell: 4.0066 4.0066 9.3711 Å, 90.00 90.00 90.00°
With the nearest neighbours (Å) after each atom.
Space group I4/mmm (No. 139)
Asymmetric unit:
Si: 0.0000 0.0000 0.1246 [4 per cell]  4 Ni 2.32, 1 Si 2.34
Ni: 0.0000 0.5000 0.2500 [4 per cell]  4 Si 2.32
Hg: 0.0000 0.0000 0.5000 [2 per cell]  8 Si 3.06, 8 Ni 3.08

Formation energy without anion corrections   -0.056 eV/atom
Total moment   0.00 μB/f.u.
Energy above the lowest structure with this stoichiometry   0.089 eV/atom

---

[11]
SiNiHg2 | GGA-PBE | optimized geometry

Cell: 4.2032 3.6393 5.1603 Å, 90.00 108.75 90.00°
With the nearest neighbours (Å) after each atom.
Space group Pm (No. 6)
Asymmetric unit:
Si: 0.0000 0.0000 0.0000 [1 per cell]  2 Ni 2.24
Ni: 0.1652 0.5000 0.2637 [1 per cell]  2 Si 2.24
Hg: 0.4190 0.5000 0.8224 [1 per cell]  2 Ni 2.73-2.81, 4 Si 2.88-2.95
Hg: 0.7281 0.0000 0.4394 [1 per cell]  2 Si 2.75-2.85, 4 Ni 2.89-2.93

Formation energy without anion corrections   0.215 eV/atom
Total moment   0.00 μB/f.u.

---

[12]
Si3NiHg | GGA-PBE | optimized geometry

Cell: 4.5075 4.5075 4.5075 Å, 90.00 90.00 90.00°
With the nearest neighbours (Å) after each atom.
Space group Pm-3m (No. 221)
Asymmetric unit:
Si: 0.0000 0.0000 0.5000 [3 per cell]  2 Ni 2.25
Ni: 0.0000 0.0000 0.0000 [1 per cell]  6 Si 2.25
Hg: 0.5000 0.5000 0.5000 [1 per cell]  12 Si 3.19

Formation energy without anion corrections   0.414 eV/atom
Total moment   0.00 μB/f.u.
Energy above the lowest structure with this stoichiometry   0.000 eV/atom

---

Look up the total moment of the second one. 0.00 μB/f.u.

---

Among the records above, which one has the lowest formation energy without anion corrections? Ti2NiHg2Se6

---

What did the eighth record say?
SiNiHg2 | GGA-PBE | optimized geometry

Cell: 3.5655 3.5655 5.5866 Å, 90.00 90.00 90.00°
With the nearest neighbours (Å) after each atom.
Space group P4/mmm (No. 123)
Asymmetric unit:
Si: 0.0000 0.0000 0.0000 [1 per cell]  2 Ni 2.79, 8 Hg 2.90
Ni: 0.0000 0.0000 0.5000 [1 per cell]  2 Si 2.79, 8 Hg 2.87
Hg: 0.5000 0.5000 0.2562 [2 per cell]  2 Hg 2.72-2.86, 4 Ni 2.87, 4 Si 2.90

Formation energy without anion corrections   0.438 eV/atom
Total moment   0.00 μB/f.u.